YTc2W after structural relaxation. Source: Alexandria, functional GGA-PBE.

- calculated formation energy (eV per atom) = 0.499
- SG = P2/m, No. 10

a = 3.0725 Å, b = 5.5369 Å, c = 5.4550 Å
α = 49.98°, β = 90.00°, γ = 90.00°
Closest atoms and distances in Å follow each position.
Positions (direct):
W  0.5000  0.5000  0.5000  6 Tc 2.73-2.78
Tc  0.5000  0.5000  0.0000  2 W 2.73, 4 Y 2.78
Tc  0.0000  0.0000  0.0000  2 Y 2.73, 4 W 2.78
Y  0.0000  0.0000  0.5000  6 Tc 2.73-2.78

---

Ac6Bi3TePb2 after structural relaxation. Source: Alexandria, functional GGA-PBE.

- energy relative to the elements, uncorrected (eV/atom) = -0.919
- SG = C2/m, No. 12

a = 4.8177 Å, b = 9.7829 Å, c = 10.8693 Å
α = 102.88°, β = 102.80°, γ = 90.00°
Closest atoms and distances in Å follow each position.
Positions (direct):
Ac  0.6673  0.5829  0.3345  3 Pb 3.44, 3 Bi 3.45
Ac  0.9986  0.7465  0.9972  1 Pb 3.39, 3 Bi 3.41-3.43, 2 Te 3.45
Ac  0.3328  0.9158  0.6657  2 Pb 3.41, 3 Bi 3.43-3.47, 1 Te 3.45
Ac  0.6672  0.0842  0.3343  2 Pb 3.41, 3 Bi 3.43-3.47, 1 Te 3.45
Ac  0.0014  0.2535  0.0028  1 Pb 3.39, 3 Bi 3.41-3.43, 2 Te 3.45
Ac  0.3327  0.4171  0.6655  3 Pb 3.44, 3 Bi 3.45
Pb  0.1658  0.3308  0.3317  6 Ac 3.39-3.44
Pb  0.8342  0.6692  0.6683  6 Ac 3.39-3.44
Bi  0.1646  0.8337  0.3291  6 Ac 3.43-3.47
Bi  0.5000  0.5000  0.0000  6 Ac 3.41-3.45
Bi  0.8354  0.1663  0.6709  6 Ac 3.43-3.47
Te  0.5000  0.0000  0.0000  6 Ac 3.45

---

CaPaRu2 after structural relaxation. Source: Alexandria, functional GGA-PBE.

- calculated formation energy (eV per atom) = -0.338
- SG = P4/mmm, No. 123

a = 3.4186 Å, b = 3.4186 Å, c = 7.0828 Å
α = 90.00°, β = 90.00°, γ = 90.00°
Closest atoms and distances in Å follow each position.
Positions (direct):
Ca  0.5000  0.5000  0.5000  8 Ru 3.20, 4 Ca 3.42, 2 Pa 3.54
Ru  0.0000  0.0000  0.7956  4 Pa 2.82, 1 Ru 2.90
Ru  0.0000  0.0000  0.2044  4 Pa 2.82, 1 Ru 2.90
Pa  0.5000  0.5000  0.0000  8 Ru 2.82

---

RbNa2CaHg after structural relaxation. Source: Alexandria, functional GGA-PBE.

- calculated formation energy (eV per atom) = -0.052
- SG = P4/mmm, No. 123

a = 6.1132 Å, b = 6.1132 Å, c = 6.0300 Å
α = 90.00°, β = 90.00°, γ = 90.00°
Closest atoms and distances in Å follow each position.
Positions (direct):
Na  0.0000  0.5000  0.0000  2 Hg 3.06
Na  0.5000  0.0000  0.0000  2 Hg 3.06
Rb  0.5000  0.5000  0.5000  8 Na 4.29, 4 Ca 4.32
Ca  0.0000  0.0000  0.5000  2 Hg 3.02
Hg  0.0000  0.0000  0.0000  2 Ca 3.02, 4 Na 3.06

---

Ba2CeMgSe5 after structural relaxation. Source: Alexandria, functional GGA-PBE.

- energy relative to the elements, uncorrected (eV/atom) = -1.743
- SG = Cmc2_1, No. 36

a = 4.4203 Å, b = 9.6035 Å, c = 13.4196 Å
α = 90.00°, β = 90.00°, γ = 103.31°
Closest atoms and distances in Å follow each position.
Positions (direct):
Ce  0.7906  0.5812  0.5170  6 Se 2.80-2.93
Ce  0.2094  0.4188  0.0170  6 Se 2.80-2.93
Ba  0.8743  0.7486  0.8130  7 Se 3.23-3.53
Ba  0.1074  0.2149  0.6852  6 Se 3.26-3.57
Ba  0.8926  0.7851  0.1852  6 Se 3.26-3.57
Ba  0.1257  0.2514  0.3130  7 Se 3.23-3.53
Se  0.7134  0.4267  0.1564  2 Ce 2.90
Se  0.4973  0.9947  0.7764  1 Mg 2.52
Se  0.3089  0.6178  0.3759  1 Mg 2.77, 2 Ce 2.93
Se  0.0567  0.1135  0.0493  2 Mg 2.60, 1 Ce 2.89
Se  0.2866  0.5733  0.6564  2 Ce 2.90
Se  0.9433  0.8865  0.5493  2 Mg 2.60, 1 Ce 2.89
Se  0.6911  0.3822  0.8759  1 Mg 2.77, 2 Ce 2.93
Se  0.3590  0.7179  0.0031  1 Ce 2.80
Se  0.5027  0.0053  0.2764  1 Mg 2.52
Se  0.6410  0.2821  0.5031  1 Ce 2.80
Mg  0.4478  0.8956  0.4477  4 Se 2.52-2.77
Mg  0.5522  0.1044  0.9477  4 Se 2.52-2.77

---

TeO6 after structural relaxation. Source: Alexandria, functional GGA-PBE.

- energy relative to the elements, uncorrected (eV/atom) = 0.730
- SG = Fm-3m, No. 225

a = 5.3242 Å, b = 5.3242 Å, c = 5.3242 Å
α = 60.00°, β = 60.00°, γ = 60.00°
Closest atoms and distances in Å follow each position.
Positions (direct):
O  0.7389  0.2611  0.7389  1 Te 1.97
O  0.7389  0.7389  0.2611  1 Te 1.97
O  0.2611  0.2611  0.7389  1 Te 1.97
O  0.2611  0.7389  0.2611  1 Te 1.97
O  0.7389  0.2611  0.2611  1 Te 1.97
O  0.2611  0.7389  0.7389  1 Te 1.97
Te  0.0000  0.0000  0.0000  6 O 1.97

---

GdSc2Tl after structural relaxation. Source: Alexandria, functional GGA-PBE.

- calculated formation energy (eV per atom) = -0.124
- relative energy among the computed polymorphs (meV per atom) = 63
- SG = P4/mmm, No. 123

a = 3.4567 Å, b = 3.4567 Å, c = 8.6418 Å
α = 90.00°, β = 90.00°, γ = 90.00°
Closest atoms and distances in Å follow each position.
Positions (direct):
Tl  0.5000  0.5000  0.0000  8 Sc 3.13, 4 Tl 3.46
Sc  0.0000  0.0000  0.2263  4 Tl 3.13, 4 Gd 3.40, 4 Sc 3.46
Sc  0.0000  0.0000  0.7737  4 Tl 3.13, 4 Gd 3.40, 4 Sc 3.46
Gd  0.5000  0.5000  0.5000  8 Sc 3.40, 4 Gd 3.46

---

TiTeSN2 after structural relaxation. Source: Alexandria, functional GGA-PBE.

- energy relative to the elements, uncorrected (eV/atom) = 1.422
- relative energy among the computed polymorphs (meV per atom) = 1040
- SG = P4/mmm, No. 123

a = 3.8277 Å, b = 3.8277 Å, c = 5.0290 Å
α = 90.00°, β = 90.00°, γ = 90.00°
Closest atoms and distances in Å follow each position.
Positions (direct):
S  0.0000  0.0000  0.0000  4 N 1.91
N  0.0000  0.5000  0.0000  2 S 1.91
N  0.5000  0.0000  0.0000  2 S 1.91
Ti  0.5000  0.5000  0.5000  4 Te 2.71
Te  0.0000  0.0000  0.5000  2 S 2.51, 4 Ti 2.71

---

no.,electronic total energy (eV/atom)
1,-9.539
2,-4.823
3,-7.851
4,-1.234
5,-4.943
6,-3.968
7,-7.402
8,-4.941